# 1
H16Ru3C6Cl6O14 (meta-GGA SCAN, PBEsol geometry); total DFT energy (no corrections) = -8.809 eV/atom; spin magnetization = 0.12 μB/f.u.; V = 613.7 Å³/cell
1.0
6.521 0.000 0.000
-2.919 6.357 0.000
-2.133 -1.962 14.807
H Ru C Cl O
16 3 6 6 14
Direct
0.016 0.020 0.328
0.131 0.580 0.633
0.231 0.161 0.672
0.238 0.819 0.426
0.241 0.355 0.435
0.252 0.790 0.531
0.256 0.419 0.540
0.405 0.693 0.647
0.595 0.307 0.353
0.744 0.581 0.460
0.748 0.210 0.469
0.759 0.645 0.565
0.762 0.181 0.574
0.769 0.839 0.328
0.869 0.420 0.367
0.984 0.980 0.672
0.000 0.000 0.500
0.227 0.388 0.184
0.773 0.612 0.816
0.093 0.779 0.838
0.190 0.603 0.125
0.263 0.264 0.078
0.737 0.736 0.922
0.810 0.397 0.875
0.907 0.221 0.162
0.200 0.544 0.330
0.288 0.119 0.265
0.366 0.404 0.784
0.634 0.596 0.216
0.712 0.881 0.735
0.800 0.456 0.670
0.114 0.022 0.638
0.164 0.726 0.082
0.239 0.886 0.485
0.251 0.302 0.495
0.262 0.622 0.600
0.286 0.193 0.011
0.288 0.881 0.852
0.712 0.119 0.148
0.714 0.807 0.989
0.738 0.378 0.400
0.749 0.698 0.505
0.761 0.114 0.515
0.836 0.274 0.918
0.886 0.978 0.362

=====

# 2
H2RuC3Cl2O4 (meta-GGA SCAN, PBEsol geometry); total DFT energy (no corrections) = -10.291 eV/atom; spin magnetization = 0.00 μB/f.u.; V = 796.0 Å³/cell
1.0
6.416 0.000 0.000
0.000 10.338 0.000
-4.705 0.000 12.002
H Ru C Cl O
8 4 12 8 16
Direct
0.223 0.068 0.079
0.223 0.432 0.579
0.230 0.516 0.480
0.230 0.984 0.980
0.770 0.016 0.020
0.770 0.484 0.520
0.777 0.568 0.421
0.777 0.932 0.921
0.037 0.211 0.894
0.037 0.289 0.394
0.963 0.711 0.606
0.963 0.789 0.106
0.170 0.678 0.205
0.170 0.822 0.705
0.199 0.148 0.476
0.199 0.352 0.976
0.209 0.206 0.803
0.209 0.294 0.303
0.791 0.706 0.697
0.791 0.794 0.197
0.801 0.648 0.024
0.801 0.852 0.524
0.830 0.178 0.295
0.830 0.322 0.795
0.170 0.528 0.708
0.170 0.972 0.208
0.184 0.712 0.491
0.184 0.788 0.991
0.816 0.212 0.009
0.816 0.288 0.509
0.830 0.028 0.792
0.830 0.472 0.292
0.251 0.076 0.007
0.251 0.424 0.507
0.293 0.060 0.526
0.293 0.440 0.026
0.305 0.611 0.265
0.305 0.889 0.765
0.313 0.204 0.747
0.313 0.296 0.247
0.687 0.704 0.753
0.687 0.796 0.253
0.695 0.111 0.235
0.695 0.389 0.735
0.707 0.560 0.974
0.707 0.940 0.474
0.749 0.576 0.493
0.749 0.924 0.993

=====

# 3
Sn2H12C4Cl2O (meta-GGA SCAN, PBEsol geometry); total DFT energy (no corrections) = -8.751 eV/atom; spin magnetization = 0.00 μB/f.u.; V = 1103.5 Å³/cell
1.0
7.285 0.000 0.000
0.000 18.224 0.000
-2.660 0.000 8.312
Sn H C Cl O
8 48 16 8 4
Direct
0.022 0.036 0.330
0.022 0.464 0.830
0.080 0.167 0.657
0.080 0.333 0.157
0.920 0.667 0.843
0.920 0.833 0.343
0.978 0.536 0.170
0.978 0.964 0.670
0.165 0.728 0.489
0.165 0.772 0.989
0.234 0.586 0.439
0.234 0.914 0.939
0.246 0.731 0.832
0.246 0.769 0.332
0.286 0.685 0.023
0.286 0.815 0.523
0.298 0.036 0.189
0.298 0.464 0.689
0.321 0.545 0.811
0.321 0.955 0.311
0.325 0.600 0.270
0.325 0.900 0.770
0.336 0.509 0.360
0.336 0.991 0.860
0.405 0.043 0.404
0.405 0.457 0.904
0.410 0.239 0.692
0.410 0.261 0.192
0.421 0.192 0.877
0.421 0.308 0.377
0.454 0.142 0.708
0.454 0.358 0.208
0.546 0.642 0.792
0.546 0.858 0.292
0.579 0.692 0.623
0.579 0.808 0.123
0.590 0.739 0.808
0.590 0.761 0.308
0.595 0.543 0.096
0.595 0.957 0.596
0.664 0.009 0.140
0.664 0.491 0.640
0.675 0.100 0.230
0.675 0.400 0.730
0.679 0.045 0.689
0.679 0.455 0.189
0.702 0.536 0.311
0.702 0.964 0.811
0.714 0.185 0.477
0.714 0.315 0.977
0.754 0.231 0.668
0.754 0.269 0.168
0.766 0.086 0.061
0.766 0.414 0.561
0.835 0.228 0.011
0.835 0.272 0.511
0.189 0.721 0.933
0.189 0.779 0.433
0.254 0.561 0.330
0.254 0.939 0.830
0.298 0.014 0.306
0.298 0.486 0.806
0.380 0.188 0.745
0.380 0.312 0.245
0.620 0.688 0.755
0.620 0.812 0.255
0.702 0.514 0.194
0.702 0.986 0.694
0.746 0.061 0.170
0.746 0.439 0.670
0.811 0.221 0.567
0.811 0.279 0.067
0.043 0.110 0.905
0.043 0.390 0.405
0.119 0.180 0.355
0.119 0.320 0.855
0.881 0.680 0.145
0.881 0.820 0.645
0.957 0.610 0.595
0.957 0.890 0.095
0.039 0.062 0.564
0.039 0.438 0.064
0.961 0.562 0.936
0.961 0.938 0.436

=====

# 4
SiP4H28C10Cl4 (meta-GGA SCAN, PBEsol geometry); total DFT energy (no corrections) = -6.302 eV/atom; spin magnetization = 0.00 μB/f.u.; V = 532.5 Å³/cell
1.0
6.845 0.000 0.000
0.202 8.665 0.000
0.813 0.536 8.977
Si P H C Cl
1 4 28 10 4
Direct
0.000 0.000 0.000
0.177 0.127 0.794
0.397 0.420 0.671
0.603 0.580 0.329
0.823 0.873 0.206
0.039 0.928 0.390
0.067 0.507 0.614
0.097 0.745 0.315
0.114 0.235 0.551
0.155 0.621 0.753
0.183 0.370 0.908
0.249 0.649 0.560
0.314 0.901 0.679
0.320 0.538 0.191
0.367 0.378 0.318
0.411 0.266 0.907
0.439 0.076 0.609
0.486 0.599 0.856
0.486 0.985 0.788
0.514 0.015 0.212
0.514 0.401 0.144
0.561 0.924 0.391
0.589 0.734 0.093
0.633 0.622 0.682
0.680 0.462 0.809
0.686 0.099 0.321
0.751 0.351 0.440
0.817 0.630 0.092
0.845 0.379 0.247
0.886 0.765 0.449
0.903 0.255 0.685
0.933 0.493 0.386
0.961 0.072 0.610
0.024 0.178 0.645
0.197 0.563 0.649
0.290 0.303 0.838
0.374 0.011 0.709
0.436 0.463 0.236
0.564 0.537 0.764
0.626 0.989 0.291
0.710 0.697 0.162
0.803 0.437 0.351
0.976 0.822 0.355
0.147 0.133 0.159
0.226 0.811 0.016
0.774 0.189 0.984
0.853 0.867 0.841

=====

# 5
P4H36WC12Cl2 (meta-GGA SCAN, PBEsol geometry); total DFT energy (no corrections) = -7.030 eV/atom; spin magnetization = 2.00 μB/f.u.; V = 557.2 Å³/cell
1.0
-4.786 4.786 6.082
4.786 -4.786 6.082
4.786 4.786 -6.082
P H W C Cl
4 36 1 12 2
Direct
0.289 0.289 0.643
0.354 0.711 0.000
0.646 0.646 0.357
0.711 0.354 0.000
0.020 0.230 0.634
0.033 0.422 0.179
0.035 0.380 0.560
0.050 0.549 0.869
0.102 0.784 0.000
0.146 0.967 0.389
0.180 0.620 0.655
0.181 0.680 0.131
0.216 0.216 0.318
0.230 0.020 0.634
0.243 0.854 0.821
0.320 0.451 0.501
0.380 0.035 0.560
0.385 0.596 0.366
0.404 0.770 0.789
0.422 0.033 0.179
0.451 0.320 0.501
0.475 0.820 0.440
0.525 0.965 0.345
0.549 0.050 0.869
0.578 0.757 0.611
0.596 0.385 0.366
0.615 0.980 0.211
0.620 0.180 0.655
0.680 0.181 0.131
0.757 0.578 0.611
0.770 0.404 0.789
0.784 0.102 0.000
0.819 0.950 0.499
0.820 0.475 0.440
0.854 0.243 0.821
0.898 0.898 0.682
0.950 0.819 0.499
0.965 0.525 0.345
0.967 0.146 0.389
0.980 0.615 0.211
0.500 0.500 0.000
0.055 0.258 0.545
0.153 0.679 0.000
0.258 0.055 0.545
0.287 0.742 0.797
0.321 0.321 0.473
0.491 0.945 0.203
0.509 0.713 0.455
0.679 0.153 0.000
0.713 0.509 0.455
0.742 0.287 0.797
0.847 0.847 0.527
0.945 0.491 0.203
0.300 0.300 0.000
0.700 0.700 0.000

=====

# 6
Si4Te2H44PdC16Cl2 (meta-GGA SCAN, PBEsol geometry); total DFT energy (no corrections) = -7.138 eV/atom; spin magnetization = 0.09 μB/f.u.; V = 1590.3 Å³/cell
1.0
12.031 -3.272 0.000
12.031 3.272 0.000
-1.371 0.000 20.195
Si Te H Pd C Cl
8 4 88 2 32 4
Direct
0.107 0.740 0.613
0.114 0.558 0.358
0.260 0.893 0.887
0.442 0.886 0.142
0.558 0.114 0.858
0.740 0.107 0.113
0.886 0.442 0.642
0.893 0.260 0.387
0.121 0.198 0.007
0.198 0.121 0.507
0.802 0.879 0.493
0.879 0.802 0.993
0.005 0.461 0.557
0.009 0.020 0.140
0.020 0.009 0.640
0.037 0.604 0.591
0.056 0.183 0.159
0.076 0.407 0.305
0.098 0.192 0.735
0.100 0.815 0.166
0.108 0.834 0.081
0.124 0.260 0.182
0.128 0.196 0.877
0.155 0.659 0.732
0.166 0.892 0.419
0.183 0.056 0.659
0.185 0.900 0.334
0.189 0.464 0.479
0.192 0.098 0.235
0.196 0.128 0.377
0.201 0.340 0.835
0.214 0.686 0.498
0.254 0.331 0.260
0.260 0.124 0.682
0.274 0.602 0.387
0.314 0.786 0.002
0.331 0.254 0.760
0.331 0.467 0.891
0.340 0.201 0.335
0.341 0.845 0.768
0.362 0.424 0.682
0.363 0.564 0.705
0.381 0.449 0.313
0.396 0.963 0.909
0.397 0.584 0.559
0.398 0.726 0.113
0.402 0.440 0.536
0.407 0.076 0.805
0.416 0.603 0.941
0.424 0.362 0.182
0.436 0.637 0.795
0.440 0.402 0.036
0.449 0.381 0.813
0.461 0.005 0.057
0.464 0.189 0.979
0.467 0.331 0.391
0.533 0.669 0.609
0.536 0.811 0.021
0.539 0.995 0.943
0.551 0.619 0.187
0.560 0.598 0.964
0.564 0.363 0.205
0.576 0.638 0.818
0.584 0.397 0.059
0.593 0.924 0.195
0.598 0.560 0.464
0.602 0.274 0.887
0.603 0.416 0.441
0.604 0.037 0.091
0.619 0.551 0.687
0.637 0.436 0.295
0.638 0.576 0.318
0.659 0.155 0.232
0.660 0.799 0.665
0.669 0.533 0.109
0.669 0.746 0.240
0.686 0.214 0.998
0.726 0.398 0.613
0.740 0.876 0.318
0.746 0.669 0.740
0.786 0.314 0.502
0.799 0.660 0.165
0.804 0.872 0.623
0.808 0.902 0.765
0.811 0.536 0.521
0.815 0.100 0.666
0.817 0.944 0.341
0.834 0.108 0.581
0.845 0.341 0.268
0.872 0.804 0.123
0.876 0.740 0.818
0.892 0.166 0.919
0.900 0.185 0.834
0.902 0.808 0.265
0.924 0.593 0.695
0.944 0.817 0.841
0.963 0.396 0.409
0.980 0.991 0.360
0.991 0.980 0.860
0.995 0.539 0.443
0.000 0.500 0.000
0.500 0.000 0.500
0.014 0.928 0.126
0.051 0.574 0.444
0.059 0.239 0.410
0.072 0.986 0.374
0.129 0.179 0.683
0.179 0.129 0.183
0.206 0.355 0.310
0.239 0.059 0.910
0.260 0.583 0.691
0.297 0.600 0.545
0.328 0.478 0.363
0.355 0.206 0.810
0.400 0.703 0.955
0.417 0.740 0.809
0.426 0.949 0.056
0.478 0.328 0.863
0.522 0.672 0.137
0.574 0.051 0.944
0.583 0.260 0.191
0.600 0.297 0.045
0.645 0.794 0.190
0.672 0.522 0.637
0.703 0.400 0.455
0.740 0.417 0.309
0.761 0.941 0.090
0.794 0.645 0.690
0.821 0.871 0.817
0.871 0.821 0.317
0.928 0.014 0.626
0.941 0.761 0.590
0.949 0.426 0.556
0.986 0.072 0.874
0.187 0.397 0.094
0.397 0.187 0.594
0.603 0.813 0.406
0.813 0.603 0.906